This record from the Alexandria database describes Nd2YPt3 after structural relaxation. The functional is PBE-GGA.

Cell: 4.1746 5.8785 7.1926 Å, 114.12 106.87 90.00°
Sites, in units of the cell vectors:
Pt (0.3387, 0.3387, 0.6774)
Pt (0.6613, 0.6613, 0.3226)
Pt (0.0000, 0.0000, 0.0000)
Nd (0.6677, 0.1677, 0.3355)
Nd (0.3323, 0.8323, 0.6645)
Y (0.0000, 0.5000, 0.0000)

total moment	0.000	μB/cell
formation energy from the elements	-1.058	eV per atom
density of states at the Fermi level	3.90	states/eV per cell
space-group type	Immm (71)